Below is a geometry-optimized CrBiNO2 structure, with properties calculated at the PBE with a Hubbard U level.

Crystal system: tetragonal
Final energy (eV per cell): -28.3
Symmetry: No. 123

a b c (Å): 4.1934 4.1934 4.3300
angles (deg): 90.00 90.00 90.00
Closest atoms and distances in Å follow each position.
Sites, in units of the cell vectors:
1 Cr 0.5000 0.5000 0.5000  4 N 2.97, 8 O 3.01
2 O 0.0000 0.5000 0.0000  2 Bi 2.10
3 Bi 0.0000 0.0000 0.0000  4 O 2.10, 2 N 2.16
4 N 0.0000 0.0000 0.5000  2 Bi 2.16
5 O 0.5000 0.0000 0.0000  2 Bi 2.10